Computed, not measured: a relaxed AcRuO3 crystal at the PBE-GGA level of DFT.

Cell: 3.441 9.843 8.107 Å, 90.00 90.00 90.00°
Each line ends with the local moment (μB).
Positions (direct):
Ac 0.750 0.812 0.038  0.01
Ac 0.250 0.688 0.538  0.01
Ac 0.750 0.312 0.462  0.01
Ac 0.250 0.188 0.962  0.01
Ru 0.250 0.008 0.646  0.84
Ru 0.250 0.508 0.854  0.84
Ru 0.750 0.492 0.146  0.84
Ru 0.750 0.992 0.354  0.84
O 0.250 0.612 0.079  0.06
O 0.750 0.388 0.921  0.06
O 0.250 0.112 0.421  0.06
O 0.750 0.888 0.579  0.06
O 0.250 0.421 0.629  0.05
O 0.750 0.079 0.129  0.05
O 0.250 0.921 0.871  0.05
O 0.750 0.625 0.782  0.02
O 0.250 0.375 0.218  0.02
O 0.750 0.125 0.718  0.02
O 0.750 0.579 0.371  0.05
O 0.250 0.875 0.282  0.02

Results
Raw total energy, eV for the cell shown: -153.01
ΔE_f (raw), eV per atom: -1.999
Space group: Pnma, No. 62